Entry 1:
ZnIn4Ir | PBE-GGA | relaxed

Structure (extended XYZ):
```
6
Lattice="0.000 4.109 4.109 4.109 0.000 4.109 4.109 4.109 0.000" Properties=species:S:1:pos:R:3 pbc="T T T"
Zn 0.000 0.000 0.000
In 5.132 3.085 3.085
In 3.085 5.132 3.085
In 3.085 3.085 5.132
In 5.132 5.132 5.132
Ir 2.054 2.054 2.054
```

Computed properties:
Formation energy (eV/f.u.): 4.02
Polymorph energy (0 for the lowest one) (eV/f.u.): 4.62
Electronic total energy (Ry/atom): -0.209
Theoretical density (g/cm3): 8.58
Space-group type: F-43m (216)
Total magnetic moment (μB per formula unit): 0.000

Entry 2:
GdTlZnAu | PBE-GGA | relaxed

Structure (extended XYZ):
```
16
Lattice="7.075 0.000 0.000 0.000 7.075 0.000 0.000 0.000 7.075" Properties=species:S:1:pos:R:3 pbc="T T T"
Gd 0.000 0.000 0.000
Gd 0.000 3.537 3.537
Gd 3.537 0.000 3.537
Gd 3.537 3.537 0.000
Tl 0.000 0.000 3.537
Tl 0.000 3.537 0.000
Tl 3.537 0.000 0.000
Tl 3.537 3.537 3.537
Zn 1.769 1.769 5.306
Zn 1.769 5.306 1.769
Zn 5.306 1.769 1.769
Zn 5.306 5.306 5.306
Au 1.769 1.769 1.769
Au 1.769 5.306 5.306
Au 5.306 1.769 5.306
Au 5.306 5.306 1.769
```

Computed properties:
Formation energy (eV/f.u.): -1.58
Electronic total energy (Ry/atom): -0.415
Theoretical density (g/cm3): 11.70
Space-group type: F-43m (216)
Total magnetic moment (μB per formula unit): 7.021

Entry 3:
ErZn2Ni2 | PBE-GGA | relaxed

Structure (extended XYZ):
```
10
Lattice="2.379 -4.440 0.000 2.379 4.440 0.000 -2.366 0.000 7.919" Properties=species:S:1:pos:R:3 pbc="T T T"
Er 0.604 3.329 5.939
Er 1.788 -3.329 1.980
Zn 1.786 1.111 0.039
Zn 1.789 1.111 3.921
Zn 0.603 -1.111 3.998
Zn 0.606 -1.111 7.880
Ni 1.788 2.652 1.980
Ni 0.604 0.428 5.939
Ni 1.788 -0.428 1.980
Ni 0.604 -2.652 5.939
```

Computed properties:
Formation energy (eV/f.u.): -1.33
Polymorph energy (0 for the lowest one) (eV/f.u.): 0.35
Electronic total energy (Ry/atom): -0.294
Theoretical density (g/cm3): 8.25
Space-group type: C2/c (15)
Total magnetic moment (μB per formula unit): 0.000